Entry from the Alexandria database: an optimized crystal structure of NiAsPbSe2 (PBE).

Structure (CIF):
```
data_NiAsPbSe2
_space_group_name_H-M_alt 'P 4/m m m'
_space_group_IT_number 123
_space_group_name_Hall '-P 4 2'
_cell_length_a 4.982
_cell_length_b 4.982
_cell_length_c 4.356
_cell_angle_alpha 90.00
_cell_angle_beta 90.00
_cell_angle_gamma 90.00
loop_
_atom_site_label
_atom_site_type_symbol
_atom_site_fract_x
_atom_site_fract_y
_atom_site_fract_z
Ni1 Ni 0.000 0.000 0.000
As1 As 0.000 0.000 0.500
Pb1 Pb 0.500 0.500 0.500
Se1 Se 0.000 0.500 0.000
```

Output
As for the raw formation energy: 62.5 meV per atom. Its total magnetization is 0.000 μB/atom. The calculated volume comes out at 21.6 Å³ per atom.



Entry from the Alexandria database: an optimized crystal structure of YZnOs (PBE).

Structure (CIF):
```
data_YZnOs
_space_group_name_H-M_alt 'C 1 2/m 1'
_space_group_IT_number 12
_cell_length_a 8.845
_cell_length_b 5.505
_cell_length_c 5.166
_cell_angle_alpha 90.00
_cell_angle_beta 112.03
_cell_angle_gamma 90.00
loop_
_space_group_symop_operation_xyz
'x,y,z'
'-x,-y,-z'
'-x,y,-z'
'x,-y,z'
'x+1/2,y+1/2,z'
'-x+1/2,-y+1/2,-z'
'-x+1/2,y+1/2,-z'
'x+1/2,-y+1/2,z'
loop_
_atom_site_label
_atom_site_type_symbol
_atom_site_fract_x
_atom_site_fract_y
_atom_site_fract_z
Y1 Y 0.140 0.000 0.393
Zn1 Zn 0.250 0.250 0.000
Os1 Os 0.007 0.500 0.250
```

Output
The formation energy comes out at 55 meV/atom. Its total magnetization is 0.000 μB/atom. The calculated volume comes out at 19.4 Å³ per atom.



Entry from the Alexandria database: an optimized crystal structure of Li4Zr3CuS8 (PBE).

Structure (CIF):
```
data_Li4Zr3CuS8
_space_group_name_H-M_alt 'R -3 m'
_space_group_IT_number 166
_space_group_name_Hall '-R 3 2"'
_cell_length_a 7.3198
_cell_length_b 7.3198
_cell_length_c 18.3816
_cell_angle_alpha 90.00
_cell_angle_beta 90.00
_cell_angle_gamma 120.00
loop_
_atom_site_label
_atom_site_type_symbol
_atom_site_fract_x
_atom_site_fract_y
_atom_site_fract_z
Li1 Li 0.0000 0.0000 0.0000
Li2 Li 0.0000 0.5000 0.0000
Zr1 Zr 0.0000 0.5000 0.5000
Cu1 Cu 0.0000 0.0000 0.5000
S1 S 0.0000 0.0000 0.2500
S2 S 0.9999 0.4999 0.2474
```

Output
As for the raw formation energy: -1333.4 meV per atom. Its total magnetization is 0.000 μB/atom. The calculated volume comes out at 17.8 Å³ per atom.



Entry from the Alexandria database: an optimized crystal structure of ZnSiCl2 (PBE).

Structure (CIF):
```
data_ZnSiCl2
_space_group_name_H-M_alt 'P 4/m m m'
_space_group_IT_number 123
_space_group_name_Hall '-P 4 2'
_cell_length_a 4.563
_cell_length_b 4.563
_cell_length_c 3.901
_cell_angle_alpha 90.00
_cell_angle_beta 90.00
_cell_angle_gamma 90.00
loop_
_atom_site_label
_atom_site_type_symbol
_atom_site_fract_x
_atom_site_fract_y
_atom_site_fract_z
Zn1 Zn 0.000 0.000 0.000
Si1 Si 0.500 0.500 0.000
Cl1 Cl 0.000 0.500 0.500
```

Output
As for the raw formation energy: 221.1 meV per atom. Its total magnetization is 0.000 μB/atom. The calculated volume comes out at 20.3 Å³ per atom.



Entry from the Alexandria database: an optimized crystal structure of YMg3Tl (PBE).

Structure (CIF):
```
data_YMg3Tl
_space_group_name_H-M_alt 'P m -3 m'
_space_group_IT_number 221
_space_group_name_Hall '-P 4 2 3'
_cell_length_a 5.311
_cell_length_b 5.311
_cell_length_c 5.311
_cell_angle_alpha 90.00
_cell_angle_beta 90.00
_cell_angle_gamma 90.00
loop_
_atom_site_label
_atom_site_type_symbol
_atom_site_fract_x
_atom_site_fract_y
_atom_site_fract_z
Y1 Y 0.000 0.000 0.000
Mg1 Mg 0.000 0.500 0.500
Tl1 Tl 0.500 0.500 0.500
```

Output
The formation energy comes out at 347 meV/atom. Its total magnetization is 0.000 μB/atom. The calculated volume comes out at 30.0 Å³ per atom.



Entry from the Alexandria database: an optimized crystal structure of Zr3NbHg (PBE).

Structure (CIF):
```
data_Zr3NbHg
_space_group_name_H-M_alt 'P m -3 m'
_space_group_IT_number 221
_space_group_name_Hall '-P 4 2 3'
_cell_length_a 5.109
_cell_length_b 5.109
_cell_length_c 5.109
_cell_angle_alpha 90.00
_cell_angle_beta 90.00
_cell_angle_gamma 90.00
loop_
_atom_site_label
_atom_site_type_symbol
_atom_site_fract_x
_atom_site_fract_y
_atom_site_fract_z
Zr1 Zr 0.000 0.000 0.500
Nb1 Nb 0.000 0.000 0.000
Hg1 Hg 0.500 0.500 0.500
```

Output
The formation energy comes out at 823 meV/atom. Its total magnetization is 0.000 μB/atom. The calculated volume comes out at 26.7 Å³ per atom.



Entry from the Alexandria database: an optimized crystal structure of Th2NpH (PBE).

Structure (CIF):
```
data_Th2NpH
_space_group_name_H-M_alt 'R -3 m'
_space_group_IT_number 166
_space_group_name_Hall '-R 3 2"'
_cell_length_a 3.3500
_cell_length_b 3.3500
_cell_length_c 28.5545
_cell_angle_alpha 90.00
_cell_angle_beta 90.00
_cell_angle_gamma 120.00
loop_
_atom_site_label
_atom_site_type_symbol
_atom_site_fract_x
_atom_site_fract_y
_atom_site_fract_z
Th1 Th 0.0000 0.0000 0.1107
Np1 Np 0.0000 0.0000 0.0000
H1 H 0.0000 0.0000 0.5000
```

Output
The value obtained for the energy is -7.441 eV per atom. Its total magnetization is 1.046 μB/atom. The calculated volume comes out at 23.1 Å³ per atom.



Entry from the Alexandria database: an optimized crystal structure of Ac2Mg6AgHg (PBE).

Structure (CIF):
```
data_Ac2Mg6AgHg
_space_group_name_H-M_alt 'P m m n'
_space_group_IT_number 59
_cell_length_a 7.803
_cell_length_b 10.091
_cell_length_c 7.215
_cell_angle_alpha 90.00
_cell_angle_beta 90.00
_cell_angle_gamma 90.00
loop_
_space_group_symop_operation_xyz
'x,y,z'
'-x,-y,-z'
'-x+1/2,-y+1/2,z'
'x+1/2,y+1/2,-z'
'x+1/2,-y,-z'
'-x+1/2,y,z'
'-x,y+1/2,-z'
'x,-y+1/2,z'
loop_
_atom_site_label
_atom_site_type_symbol
_atom_site_fract_x
_atom_site_fract_y
_atom_site_fract_z
Ac1 Ac 0.250 0.014 0.238
Mg1 Mg 0.057 0.250 0.911
Mg2 Mg 0.065 0.750 0.545
Mg3 Mg 0.250 0.000 0.734
Ag1 Ag 0.250 0.250 0.582
Hg1 Hg 0.250 0.750 0.910
```

Output
The formation energy comes out at -96 meV/atom. Its total magnetization is 0.000 μB/atom. The calculated volume comes out at 28.4 Å³ per atom.



Entry from the Alexandria database: an optimized crystal structure of Sc3AuO (PBE).

Structure (CIF):
```
data_Sc3AuO
_space_group_name_H-M_alt 'C 1 2/m 1'
_space_group_IT_number 12
_cell_length_a 12.447
_cell_length_b 3.483
_cell_length_c 10.477
_cell_angle_alpha 90.00
_cell_angle_beta 108.99
_cell_angle_gamma 90.00
loop_
_space_group_symop_operation_xyz
'x,y,z'
'-x,-y,-z'
'-x,y,-z'
'x,-y,z'
'x+1/2,y+1/2,z'
'-x+1/2,-y+1/2,-z'
'-x+1/2,y+1/2,-z'
'x+1/2,-y+1/2,z'
loop_
_atom_site_label
_atom_site_type_symbol
_atom_site_fract_x
_atom_site_fract_y
_atom_site_fract_z
Sc1 Sc 0.112 0.000 0.181
Sc2 Sc 0.150 0.500 0.541
Sc3 Sc 0.175 0.000 0.875
Au1 Au 0.002 0.000 0.637
O1 O 0.233 0.000 0.092
```

Output
As for the raw formation energy: -1286.1 meV per atom. Its total magnetization is 0.000 μB/atom. The calculated volume comes out at 21.5 Å³ per atom.



Entry from the Alexandria database: an optimized crystal structure of Tl2HgBr4 (PBE).

Structure (CIF):
```
data_Tl2HgBr4
_space_group_name_H-M_alt 'P 1 21/m 1'
_space_group_IT_number 11
_cell_length_a 7.808
_cell_length_b 7.821
_cell_length_c 9.071
_cell_angle_alpha 90.00
_cell_angle_beta 107.53
_cell_angle_gamma 90.00
loop_
_space_group_symop_operation_xyz
'x,y,z'
'-x,-y,-z'
'-x,y+1/2,-z'
'x,-y+1/2,z'
loop_
_atom_site_label
_atom_site_type_symbol
_atom_site_fract_x
_atom_site_fract_y
_atom_site_fract_z
Tl1 Tl 0.220 0.250 0.059
Tl2 Tl 0.235 0.250 0.557
Hg1 Hg 0.248 0.750 0.807
Br1 Br 0.001 0.006 0.742
Br2 Br 0.437 0.750 0.610
Br3 Br 0.440 0.750 0.101
```

Output
As for the raw formation energy: -679.3 meV per atom. Its total magnetization is 0.000 μB/atom. The calculated volume comes out at 37.7 Å³ per atom.



Entry from the Alexandria database: an optimized crystal structure of CaTcPd2O (PBE).

Structure (CIF):
```
data_CaTcPd2O
_space_group_name_H-M_alt 'P 4/m m m'
_space_group_IT_number 123
_space_group_name_Hall '-P 4 2'
_cell_length_a 4.839
_cell_length_b 4.839
_cell_length_c 5.548
_cell_angle_alpha 90.00
_cell_angle_beta 90.00
_cell_angle_gamma 90.00
loop_
_atom_site_label
_atom_site_type_symbol
_atom_site_fract_x
_atom_site_fract_y
_atom_site_fract_z
Ca1 Ca 0.000 0.000 0.000
Tc1 Tc 0.000 0.000 0.500
Pd1 Pd 0.000 0.500 0.000
O1 O 0.500 0.500 0.500
```

Output
As for the raw formation energy: 1857.4 meV per atom. Its total magnetization is 0.992 μB/atom. The calculated volume comes out at 26.0 Å³ per atom.



Entry from the Alexandria database: an optimized crystal structure of ZrAlGeC2 (PBE).

Structure (CIF):
```
data_ZrAlGeC2
_space_group_name_H-M_alt 'P 4/m m m'
_space_group_IT_number 123
_space_group_name_Hall '-P 4 2'
_cell_length_a 4.299
_cell_length_b 4.299
_cell_length_c 5.415
_cell_angle_alpha 90.00
_cell_angle_beta 90.00
_cell_angle_gamma 90.00
loop_
_atom_site_label
_atom_site_type_symbol
_atom_site_fract_x
_atom_site_fract_y
_atom_site_fract_z
Zr1 Zr 0.000 0.000 0.000
Al1 Al 0.000 0.000 0.500
Ge1 Ge 0.500 0.500 0.500
C1 C 0.000 0.500 0.000
```

Output
The formation energy comes out at 1710 meV/atom. Its total magnetization is 0.000 μB/atom. The calculated volume comes out at 20.0 Å³ per atom.